Entry 1:
P2AuF2: optimized geometry, PBEsol.

Cell lengths 3.9858, 6.1223, 6.1223 Å; angles 90.00, 90.00, 90.00 degrees
Fractional positions:
F  0.5000  0.6441  0.1441
P  0.0000  0.8695  0.6305
Au  0.0000  0.5000  0.5000
Au  0.0000  0.0000  0.0000
F  0.5000  0.1441  0.3559
P  0.0000  0.3695  0.8695
P  0.0000  0.6305  0.1305
F  0.5000  0.3559  0.8559
P  0.0000  0.1305  0.3695
F  0.5000  0.8559  0.6441

Results
total energy: -4.749 eV/atom

---

Entry 2:
Dy3Ni7B2: optimized geometry, PBEsol.

Cell lengths 4.9947, 4.9947, 14.1088 Å; angles 90.00, 90.00, 120.00 degrees
Fractional positions:
Ni  0.6689  0.8345  0.8518
Ni  0.3311  0.1655  0.1482
Ni  0.1655  0.3311  0.8518
B  0.3333  0.6667  0.7500
B  0.0000  0.0000  0.7500
Dy  0.3333  0.6667  0.2500
Dy  0.6667  0.3333  0.7500
Ni  0.1655  0.8345  0.6482
B  0.0000  0.0000  0.2500
Dy  0.3333  0.6667  0.0323
Ni  0.0000  0.0000  0.5000
Dy  0.6667  0.3333  0.5323
Dy  0.6667  0.3333  0.9677
Ni  0.8345  0.1655  0.3518
Ni  0.6689  0.8345  0.6482
Ni  0.1655  0.8345  0.8518
Dy  0.3333  0.6667  0.4677
Ni  0.8345  0.1655  0.1482
Ni  0.0000  0.0000  0.0000
Ni  0.8345  0.6689  0.3518
Ni  0.3311  0.1655  0.3518
Ni  0.1655  0.3311  0.6482
B  0.6667  0.3333  0.2500
Ni  0.8345  0.6689  0.1482

Results
E_form: -0.554 eV/atom

---

Entry 3:
FePbAu2: optimized geometry, PBEsol.

Cell lengths 4.0506, 4.0560, 4.3452 Å; angles 90.00, 90.00, 90.00 degrees
Fractional positions:
Au  0.0000  0.0000  0.0000
Pb  0.0000  0.5000  0.5000
Fe  0.5000  0.0000  0.5000
Au  0.5000  0.5000  0.0000

Results
E_form: 0.316 eV/atom

---

Entry 4:
Ba2ScHgGe: optimized geometry, PBEsol.

Cell lengths 5.1107, 6.3358, 6.3358 Å; angles 90.00, 90.00, 90.00 degrees
Fractional positions:
Hg  0.5000  0.5000  0.5000
Ba  0.0000  0.0000  0.5000
Sc  0.5000  0.0000  0.0000
Ba  0.0000  0.5000  0.0000
Ge  0.0000  0.0000  0.0000

Results
E_form: -0.097 eV/atom